BiPtI2N: relaxed, PBE.

Unit cell a=5.9359 b=5.9359 c=3.7360 alpha=90.00 beta=90.00 gamma=90.00
Closest atoms and distances in Å follow each position.
Element x y z (fractional)
Pt (0.0000, 0.0000, 0.0000)  2 N 1.87
I (0.5000, 0.0000, 0.0000)  2 Pt 2.97
I (0.0000, 0.5000, 0.0000)  2 Pt 2.97
Bi (0.5000, 0.5000, 0.5000)  8 I 3.51, 2 Bi 3.74
N (0.0000, 0.0000, 0.5000)  2 Pt 1.87

Calculated values
- raw formation energy (meV/atom) = 498
- M_tot (Bohr magnetons per cell) = 0.000
- energy relative to the lowest polymorph listed for this composition (meV per atom) = 0

---

ZnCoAg2: relaxed, PBE.

Unit cell a=2.8053 b=2.8053 c=7.7069 alpha=90.00 beta=90.00 gamma=89.98
Closest atoms and distances in Å follow each position.
Element x y z (fractional)
Zn (0.5000, 0.5000, 0.7239)  4 Co 2.54, 4 Zn 2.81, 4 Ag 2.83
Co (0.0000, 0.0000, 0.5187)  4 Zn 2.54, 4 Ag 2.75, 4 Co 2.81
Ag (0.5000, 0.5000, 0.2724)  4 Co 2.75, 8 Ag 2.81-2.97
Ag (0.0000, 0.0000, 0.9850)  8 Ag 2.81-2.97, 4 Zn 2.83

Calculated values
- formation energy from the elements (eV per atom) = 0.149
- M_tot (Bohr magnetons per cell) = 1.373

---

Na3Ga8Au3: relaxed, PBE.

Unit cell a=4.3453 b=8.2825 c=8.5044 alpha=72.00 beta=75.20 gamma=74.79
Closest atoms and distances in Å follow each position.
Element x y z (fractional)
Ga (0.3420, 0.0329, 0.2831)  1 Au 2.60, 4 Ga 2.69-2.70
Ga (0.1462, 0.1389, 0.5688)  5 Ga 2.69-2.85, 1 Au 2.79
Ga (0.4954, 0.6863, 0.3229)  3 Au 2.70-2.82, 5 Ga 2.70-2.92
Ga (0.8538, 0.8611, 0.4312)  5 Ga 2.69-2.85, 1 Au 2.79
Ga (0.5046, 0.3137, 0.6771)  3 Au 2.70-2.82, 5 Ga 2.70-2.92
Ga (0.1446, 0.5651, 0.1456)  4 Au 2.65-2.82, 2 Ga 2.92
Ga (0.6580, 0.9671, 0.7169)  1 Au 2.60, 4 Ga 2.69-2.70
Ga (0.8554, 0.4349, 0.8544)  4 Au 2.65-2.82, 2 Ga 2.92
Na (0.0000, 0.0000, 0.0000)  4 Au 3.17, 8 Ga 3.24-3.43
Na (0.7065, 0.2979, 0.2890)  9 Ga 3.04-3.38, 2 Au 3.17
Na (0.2935, 0.7021, 0.7110)  9 Ga 3.04-3.38, 2 Au 3.17
Au (0.6482, 0.7146, 0.9890)  5 Ga 2.60-2.74
Au (0.0000, 0.5000, 0.5000)  8 Ga 2.79-2.82
Au (0.3518, 0.2854, 0.0110)  5 Ga 2.60-2.74

Calculated values
- formation energy from the elements (eV per atom) = -0.235
- M_tot (Bohr magnetons per cell) = 0.000
- energy relative to the lowest polymorph listed for this composition (meV per atom) = 3

---

DyThRh: relaxed, PBE.

Unit cell a=7.3890 b=6.0940 c=7.1677 alpha=90.10 beta=90.00 gamma=90.00
Closest atoms and distances in Å follow each position.
Element x y z (fractional)
Rh (0.0488, 0.3228, 0.2492)  2 Dy 2.85-2.88, 4 Th 2.86-2.89
Rh (0.4512, 0.3228, 0.7492)  2 Dy 2.85-2.88, 4 Th 2.86-2.89
Rh (0.9512, 0.6772, 0.7508)  2 Dy 2.85-2.88, 4 Th 2.86-2.89
Rh (0.5488, 0.6772, 0.2508)  2 Dy 2.85-2.88, 4 Th 2.86-2.89
Dy (0.1072, 0.1106, 0.7508)  2 Rh 2.85-2.88
Dy (0.6072, 0.8894, 0.7492)  2 Rh 2.85-2.88
Dy (0.8928, 0.8894, 0.2492)  2 Rh 2.85-2.88
Dy (0.3928, 0.1106, 0.2508)  2 Rh 2.85-2.88
Th (0.2498, 0.5959, 0.5001)  4 Rh 2.86-2.89
Th (0.2502, 0.5959, 0.0001)  4 Rh 2.86-2.89
Th (0.7498, 0.4041, 0.9999)  4 Rh 2.86-2.89
Th (0.7502, 0.4041, 0.4999)  4 Rh 2.86-2.89

Calculated values
- formation energy from the elements (eV per atom) = -0.599
- M_tot (Bohr magnetons per cell) = 0.000
- energy relative to the lowest polymorph listed for this composition (meV per atom) = 0

---

Pm2NbSb: relaxed, PBE.

Unit cell a=4.3331 b=4.8969 c=4.8969 alpha=90.00 beta=90.00 gamma=90.00
Closest atoms and distances in Å follow each position.
Element x y z (fractional)
Nb (0.5000, 0.5000, 0.5000)  8 Pm 3.27, 4 Sb 3.46
Pm (0.0000, 0.5000, 0.0000)  4 Nb 3.27, 4 Sb 3.27, 4 Pm 3.46
Pm (0.0000, 0.0000, 0.5000)  4 Nb 3.27, 4 Sb 3.27, 4 Pm 3.46
Sb (0.5000, 0.0000, 0.0000)  8 Pm 3.27, 4 Nb 3.46

Calculated values
- raw formation energy (meV/atom) = -187
- M_tot (Bohr magnetons per cell) = 1.395

---

CeNd4Sb5: relaxed, PBE.

Unit cell a=4.5229 b=4.5229 c=16.2838 alpha=97.98 beta=97.98 gamma=90.00
Closest atoms and distances in Å follow each position.
Element x y z (fractional)
Nd (0.6007, 0.6007, 0.2013)  6 Sb 3.17-3.21
Nd (0.8000, 0.8000, 0.6000)  6 Sb 3.19-3.22
Nd (0.2000, 0.2000, 0.4000)  6 Sb 3.19-3.22
Nd (0.3993, 0.3993, 0.7987)  6 Sb 3.17-3.21
Ce (0.0000, 0.0000, 0.0000)  6 Sb 3.17-3.20
Sb (0.0992, 0.0992, 0.1984)  1 Ce 3.17, 5 Nd 3.20-3.22
Sb (0.9008, 0.9008, 0.8016)  1 Ce 3.17, 5 Nd 3.20-3.22
Sb (0.5000, 0.5000, 0.0000)  4 Ce 3.20, 2 Nd 3.21
Sb (0.2999, 0.2999, 0.5999)  6 Nd 3.17-3.20
Sb (0.7001, 0.7001, 0.4001)  6 Nd 3.17-3.20

Calculated values
- raw formation energy (meV/atom) = -1162
- M_tot (Bohr magnetons per cell) = 0.787
- energy relative to the lowest polymorph listed for this composition (meV per atom) = 3

---

K2TaHgS4: relaxed, PBE.

Unit cell a=6.8487 b=6.8487 c=6.8487 alpha=106.32 beta=111.07 gamma=111.07
Closest atoms and distances in Å follow each position.
Element x y z (fractional)
K (0.5000, 0.7500, 0.2500)  4 S 3.13
K (0.0000, 0.0000, 0.0000)  8 S 3.41-3.81
Ta (0.0000, 0.5000, 0.5000)  4 S 2.30
S (0.0319, 0.1869, 0.5333)  1 Ta 2.30
S (0.9681, 0.5014, 0.1550)  1 Ta 2.30
S (0.6536, 0.4667, 0.4986)  1 Ta 2.30
S (0.3464, 0.8450, 0.8131)  1 Ta 2.30
Hg (0.5000, 0.2500, 0.7500)  4 S 2.81

Calculated values
- raw formation energy (meV/atom) = -894
- M_tot (Bohr magnetons per cell) = 0.000

---

Pm3NdHo7: relaxed, PBE.

Unit cell a=8.6860 b=7.0667 c=7.0667 alpha=120.00 beta=90.00 gamma=90.00
Closest atoms and distances in Å follow each position.
Element x y z (fractional)
Ho (0.1195, 0.6656, 0.8328)  1 Nd 3.49, 8 Ho 3.49-3.54, 2 Pm 3.55
Ho (0.1195, 0.1672, 0.3344)  1 Nd 3.49, 8 Ho 3.49-3.54, 2 Pm 3.55
Ho (0.1195, 0.1672, 0.8328)  1 Nd 3.49, 8 Ho 3.49-3.54, 2 Pm 3.55
Ho (0.4453, 0.8324, 0.1676)  7 Ho 3.47-3.55, 2 Nd 3.53, 2 Pm 3.58
Ho (0.4453, 0.3352, 0.1676)  7 Ho 3.47-3.55, 2 Nd 3.53, 2 Pm 3.58
Ho (0.4453, 0.8324, 0.6648)  7 Ho 3.47-3.55, 2 Nd 3.53, 2 Pm 3.58
Ho (0.1215, 0.6667, 0.3333)  9 Ho 3.47-3.53, 3 Pm 3.57
Pm (0.7845, 0.5004, 0.0008)  4 Pm 3.52-3.54, 5 Ho 3.55-3.58, 1 Nd 3.58
Pm (0.7845, 0.5004, 0.4996)  4 Pm 3.52-3.54, 5 Ho 3.55-3.58, 1 Nd 3.58
Pm (0.7845, 0.9992, 0.4996)  4 Pm 3.52-3.54, 5 Ho 3.55-3.58, 1 Nd 3.58
Nd (0.4457, 0.3333, 0.6667)  9 Ho 3.49-3.53, 3 Pm 3.58

Calculated values
- formation energy from the elements (eV per atom) = 0.182
- M_tot (Bohr magnetons per cell) = 0.000
- energy relative to the lowest polymorph listed for this composition (meV per atom) = 35

---

KCu: relaxed, PBE.

Unit cell a=4.7025 b=4.7025 c=4.7025 alpha=60.13 beta=60.13 gamma=60.13
Closest atoms and distances in Å follow each position.
Element x y z (fractional)
K (0.5000, 0.5000, 0.5000)  6 Cu 3.33
Cu (0.0000, 0.0000, 0.0000)  6 K 3.33

Calculated values
- formation energy from the elements (eV per atom) = 0.525
- M_tot (Bohr magnetons per cell) = 0.003
- energy relative to the lowest polymorph listed for this composition (meV per atom) = 283

---

LaNiAsP2: relaxed, PBE.

Unit cell a=4.3568 b=5.4348 c=4.3568 alpha=90.00 beta=90.00 gamma=90.00
Closest atoms and distances in Å follow each position.
Element x y z (fractional)
P (0.5000, 0.0000, 0.0000)  2 Ni 2.18
P (0.0000, 0.0000, 0.5000)  2 Ni 2.18
Ni (0.0000, 0.0000, 0.0000)  4 P 2.18
As (0.5000, 0.5000, 0.5000)  4 La 3.08
La (0.0000, 0.5000, 0.0000)  2 Ni 2.72

Calculated values
- formation energy from the elements (eV per atom) = -0.267
- M_tot (Bohr magnetons per cell) = 0.000

---

Er4Sb3Te: relaxed, PBE.

Unit cell a=4.3449 b=6.1447 c=8.6937 alpha=90.00 beta=90.00 gamma=90.00
Closest atoms and distances in Å follow each position.
Element x y z (fractional)
Te (0.0000, 0.0000, 0.0000)  6 Er 3.07-3.12
Sb (0.0000, 0.0000, 0.5000)  6 Er 3.02-3.07
Sb (0.5000, 0.5000, 0.7518)  6 Er 3.06-3.08
Sb (0.5000, 0.5000, 0.2482)  6 Er 3.06-3.08
Er (0.0000, 0.5000, 0.0000)  4 Sb 3.06, 2 Te 3.07
Er (0.0000, 0.5000, 0.5000)  6 Sb 3.07-3.08
Er (0.5000, 0.0000, 0.2581)  4 Sb 3.02-3.07, 2 Te 3.12
Er (0.5000, 0.0000, 0.7419)  4 Sb 3.02-3.07, 2 Te 3.12

Calculated values
- raw formation energy (meV/atom) = -1165
- M_tot (Bohr magnetons per cell) = 0.000
- energy relative to the lowest polymorph listed for this composition (meV per atom) = 0

---

Tb3Pm2Sn4: relaxed, PBE.

Unit cell a=7.0431 b=8.9853 c=9.2631 alpha=90.00 beta=112.34 gamma=90.00
Closest atoms and distances in Å follow each position.
Element x y z (fractional)
Sn (0.1861, 0.9440, 0.3723)  5 Tb 3.09-3.28, 1 Pm 3.43
Sn (0.3139, 0.4440, 0.6277)  5 Tb 3.09-3.28, 1 Pm 3.43
Sn (0.2208, 0.7500, 0.9417)  3 Tb 2.90-3.03
Sn (0.6861, 0.5560, 0.3723)  5 Tb 3.09-3.28, 1 Pm 3.43
Sn (0.2792, 0.2500, 0.0583)  3 Tb 2.90-3.03
Sn (0.7792, 0.2500, 0.0583)  3 Tb 2.90-3.03
Sn (0.7208, 0.7500, 0.9417)  3 Tb 2.90-3.03
Sn (0.8139, 0.0560, 0.6277)  5 Tb 3.09-3.28, 1 Pm 3.43
Pm (0.3889, 0.0906, 0.7779)  3 Sn 3.31-3.43
Pm (0.8889, 0.4094, 0.7779)  3 Sn 3.31-3.43
Pm (0.1111, 0.5906, 0.2221)  3 Sn 3.31-3.43
Pm (0.6111, 0.9094, 0.2221)  3 Sn 3.31-3.43
Tb (0.5442, 0.7500, 0.5884)  5 Sn 3.03-3.28
Tb (0.9558, 0.2500, 0.4116)  5 Sn 3.03-3.28
Tb (0.0000, 0.0000, 0.0000)  6 Sn 2.90-3.23
Tb (0.4558, 0.2500, 0.4116)  5 Sn 3.03-3.28
Tb (0.5000, 0.5000, 0.0000)  6 Sn 2.90-3.23
Tb (0.0442, 0.7500, 0.5884)  5 Sn 3.03-3.28

Calculated values
- formation energy from the elements (eV per atom) = -0.608
- M_tot (Bohr magnetons per cell) = 0.000
- energy relative to the lowest polymorph listed for this composition (meV per atom) = 178